Entry 1:
DFT (PBE-GGA) results for a geometry-optimized NpNi4Te structure.

Unit cell a=7.0959 b=7.0959 c=7.0959 alpha=90.00 beta=90.00 gamma=90.00
Last column: nearest neighbours and their distance in Å.
Space group F-43m (No. 216)
Asymmetric unit:
Np  0.0000  0.0000  0.0000 x4  12 Ni 2.94, 4 Te 3.07
Ni  0.1264  0.1264  0.3736 x16  6 Ni 2.48-2.54
Te  0.2500  0.2500  0.7500 x4  12 Ni 2.94, 4 Np 3.07

Raw formation energy   -55 kJ/mol of formula units
Energy   -0.487 Ry/atom

=====

Entry 2:
DFT (PBE-GGA) results for a geometry-optimized NpNiTe structure.

Unit cell a=6.4011 b=6.4011 c=6.4011 alpha=90.00 beta=90.00 gamma=90.00
Last column: nearest neighbours and their distance in Å.
Space group F-43m (No. 216)
Asymmetric unit:
Np  0.0000  0.0000  0.0000 x4  4 Ni 2.77
Ni  0.2500  0.2500  0.7500 x4  4 Te 2.77, 4 Np 2.77
Te  0.0000  0.0000  0.5000 x4  4 Ni 2.77

Raw formation energy   -64 kJ/mol of formula units
Energy   -0.552 Ry/atom

=====

Entry 3:
DFT (PBE-GGA) results for a geometry-optimized Np3Tl3NiTe8 structure.

Unit cell a=14.9656 b=8.6460 c=9.7436 alpha=90.00 beta=120.76 gamma=90.00
Last column: nearest neighbours and their distance in Å.
Space group C2/m (No. 12)
Asymmetric unit:
Np  0.0000  0.0000  0.0000 x2  6 Te 3.07-3.09
Np  0.2500  0.2500  0.0000 x4  6 Te 3.07-3.09
Tl  0.0000  0.5000  0.5000 x2  6 Te 3.44-3.51
Tl  0.2500  0.2500  0.5000 x4  6 Te 3.44-3.51
Ni  0.0000  0.5000  0.0000 x2  6 Te 2.77-2.78
Te  0.0116  0.2727  0.8074 x8  1 Ni 2.78, 2 Np 3.07
Te  0.2145  0.5000  0.1916 x4  1 Ni 2.77, 2 Np 3.07
Te  0.2391  0.0000  0.2171 x4  3 Np 3.09, 3 Tl 3.44

Raw formation energy   -579 kJ/mol of formula units
Energy   -0.406 Ry/atom